(1)
# Te3W PBE optimized geometry
data_Te3W
_chemical_formula_sum 'Te3 W1'
_cell_length_a 3.2365
_cell_length_b 3.2365
_cell_length_c 10.5943
_cell_angle_alpha 90.00
_cell_angle_beta 90.00
_cell_angle_gamma 90.00
_symmetry_space_group_name_H-M 'P 4/m m m'
_symmetry_Int_Tables_number 123
_symmetry_space_group_name_Hall '-P 4 2'
loop_
_atom_site_label
_atom_site_type_symbol
_atom_site_fract_x
_atom_site_fract_y
_atom_site_fract_z
Te1 Te 0.0000 0.0000 0.0000
Te2 Te 0.5000 0.5000 0.3381
W1 W 0.0000 0.0000 0.5000
# V: 27.74 Å³ per atom
# D(E_F): 3.23 states/eV/f.u.
# raw formation energy: 0.204 eV/atom

=====

(2)
# ZrScAgOs PBE optimized geometry
data_ZrScAgOs
_chemical_formula_sum 'Zr4 Sc4 Ag4 Os4'
_cell_length_a 6.6683
_cell_length_b 6.6683
_cell_length_c 6.6683
_cell_angle_alpha 90.00
_cell_angle_beta 90.00
_cell_angle_gamma 90.00
_symmetry_space_group_name_H-M 'F -4 3 m'
_symmetry_Int_Tables_number 216
_symmetry_space_group_name_Hall 'F -4 2 3'
loop_
_atom_site_label
_atom_site_type_symbol
_atom_site_fract_x
_atom_site_fract_y
_atom_site_fract_z
Zr1 Zr 0.0000 0.0000 0.0000
Sc1 Sc 0.0000 0.0000 0.5000
Ag1 Ag 0.2500 0.2500 0.7500
Os1 Os 0.2500 0.2500 0.2500
# V: 18.53 Å³ per atom
# electronic total energy: -7.55 eV/atom
# D(E_F): 3.11 states/eV/f.u.

=====

(3)
# KZrNi3 PBE optimized geometry
data_KZrNi3
_chemical_formula_sum 'K1 Zr1 Ni3'
_cell_length_a 4.8522
_cell_length_b 4.8522
_cell_length_c 4.8522
_cell_angle_alpha 90.00
_cell_angle_beta 90.00
_cell_angle_gamma 90.00
_symmetry_space_group_name_H-M 'P m -3 m'
_symmetry_Int_Tables_number 221
_symmetry_space_group_name_Hall '-P 4 2 3'
loop_
_atom_site_label
_atom_site_type_symbol
_atom_site_fract_x
_atom_site_fract_y
_atom_site_fract_z
K1 K 0.0000 0.0000 0.0000
Zr1 Zr 0.5000 0.5000 0.5000
Ni1 Ni 0.0000 0.5000 0.5000
# V: 22.85 Å³ per atom
# electronic total energy: -4.49 eV/atom
# D(E_F): 3.40 states/eV/f.u.

=====

(4)
# AsIBr2F PBE optimized geometry
data_AsIBr2F
_chemical_formula_sum 'As1 I1 Br2 F1'
_cell_length_a 5.8931
_cell_length_b 5.8931
_cell_length_c 3.8900
_cell_angle_alpha 90.00
_cell_angle_beta 90.00
_cell_angle_gamma 90.00
_symmetry_space_group_name_H-M 'P 4/m m m'
_symmetry_Int_Tables_number 123
_symmetry_space_group_name_Hall '-P 4 2'
loop_
_atom_site_label
_atom_site_type_symbol
_atom_site_fract_x
_atom_site_fract_y
_atom_site_fract_z
As1 As 0.0000 0.0000 0.0000
I1 I 0.5000 0.5000 0.0000
Br1 Br 0.0000 0.5000 0.5000
F1 F 0.0000 0.0000 0.5000
# V: 27.02 Å³ per atom
# D(E_F): 6.06 states/eV/f.u.
# raw formation energy: 0.104 eV/atom

=====

(5)
# NbTcPt2S PBE optimized geometry
data_NbTcPt2S
_chemical_formula_sum 'Nb1 Tc1 Pt2 S1'
_cell_length_a 4.8262
_cell_length_b 4.8262
_cell_length_c 4.7184
_cell_angle_alpha 90.00
_cell_angle_beta 90.00
_cell_angle_gamma 90.00
_symmetry_space_group_name_H-M 'P 4/m m m'
_symmetry_Int_Tables_number 123
_symmetry_space_group_name_Hall '-P 4 2'
loop_
_atom_site_label
_atom_site_type_symbol
_atom_site_fract_x
_atom_site_fract_y
_atom_site_fract_z
Nb1 Nb 0.0000 0.0000 0.0000
Tc1 Tc 0.0000 0.0000 0.5000
Pt1 Pt 0.0000 0.5000 0.5000
S1 S 0.5000 0.5000 0.0000
# V: 21.98 Å³ per atom
# D(E_F): 7.88 states/eV/f.u.
# raw formation energy: 1.318 eV/atom

=====

(6)
# MnBeIn2 PBE optimized geometry
data_MnBeIn2
_chemical_formula_sum 'Mn1 Be1 In2'
_cell_length_a 2.9883
_cell_length_b 4.1321
_cell_length_c 5.8296
_cell_angle_alpha 90.00
_cell_angle_beta 90.15
_cell_angle_gamma 90.00
_symmetry_space_group_name_H-M 'P 1 2/m 1'
_symmetry_Int_Tables_number 10
_symmetry_space_group_name_Hall '-P 2y'
loop_
_atom_site_label
_atom_site_type_symbol
_atom_site_fract_x
_atom_site_fract_y
_atom_site_fract_z
Mn1 Mn 0.0000 0.0000 0.0000
Be1 Be 0.5000 0.0000 0.5000
In1 In 0.4990 0.5000 0.7531
# V: 18.00 Å³ per atom
# electronic total energy: -4.13 eV/atom
# D(E_F): 2.38 states/eV/f.u.

=====

(7)
# CaTi2PbO6 PBE optimized geometry
data_CaTi2PbO6
_chemical_formula_sum 'Ca1 Ti2 Pb1 O6'
_cell_length_a 3.8111
_cell_length_b 3.8111
_cell_length_c 9.2126
_cell_angle_alpha 90.00
_cell_angle_beta 90.00
_cell_angle_gamma 90.00
_symmetry_space_group_name_H-M 'P 4 m m'
_symmetry_Int_Tables_number 99
_symmetry_space_group_name_Hall 'P 4 -2'
loop_
_atom_site_label
_atom_site_type_symbol
_atom_site_fract_x
_atom_site_fract_y
_atom_site_fract_z
Ca1 Ca 0.0000 0.0000 0.0000
Ti1 Ti 0.5000 0.5000 0.2027
Ti2 Ti 0.5000 0.5000 0.7161
Pb1 Pb 0.0000 0.0000 0.4832
O1 O 0.0000 0.5000 0.1486
O2 O 0.0000 0.5000 0.6622
O3 O 0.5000 0.5000 0.3957
O4 O 0.5000 0.5000 0.9071
# V: 13.38 Å³ per atom
# D(E_F): 0.00 states/eV/f.u.
# raw formation energy: -2.701 eV/atom

=====

(8)
# YCo2Cl PBE optimized geometry
data_YCo2Cl
_chemical_formula_sum 'Y2 Co4 Cl2'
_cell_length_a 3.2507
_cell_length_b 3.2840
_cell_length_c 15.5322
_cell_angle_alpha 90.00
_cell_angle_beta 90.00
_cell_angle_gamma 90.00
_symmetry_space_group_name_H-M 'A m m 2'
_symmetry_Int_Tables_number 38
_symmetry_space_group_name_Hall 'A 2 -2'
loop_
_atom_site_label
_atom_site_type_symbol
_atom_site_fract_x
_atom_site_fract_y
_atom_site_fract_z
Y1 Y 0.0000 0.0000 0.0000
Co1 Co 0.0000 0.0000 0.1673
Co2 Co 0.5000 0.0000 0.6284
Cl1 Cl 0.5000 0.0000 0.3933
# V: 20.73 Å³ per atom
# D(E_F): 3.51 states/eV/f.u.
# raw formation energy: -0.264 eV/atom

=====

(9)
# Ni3OsRh PBE optimized geometry
data_Ni3OsRh
_chemical_formula_sum 'Ni6 Os2 Rh2'
_cell_length_a 4.5290
_cell_length_b 4.9946
_cell_length_c 6.5996
_cell_angle_alpha 109.28
_cell_angle_beta 90.62
_cell_angle_gamma 116.84
_symmetry_space_group_name_H-M 'P -1'
_symmetry_Int_Tables_number 2
_symmetry_space_group_name_Hall '-P 1'
loop_
_atom_site_label
_atom_site_type_symbol
_atom_site_fract_x
_atom_site_fract_y
_atom_site_fract_z
Ni1 Ni 0.1433 0.1098 0.3591
Ni2 Ni 0.2607 0.6898 0.4463
Ni3 Ni 0.3252 0.4901 0.7447
Os1 Os 0.0748 0.3033 0.0536
Rh1 Rh 0.4615 0.0885 0.8380
# V: 12.34 Å³ per atom
# electronic total energy: -7.11 eV/atom
# D(E_F): 7.79 states/eV/f.u.

=====

(10)
# ThScCd PBE optimized geometry
data_ThScCd
_chemical_formula_sum 'Th1 Sc1 Cd1'
_cell_length_a 5.1425
_cell_length_b 5.1425
_cell_length_c 3.5708
_cell_angle_alpha 90.00
_cell_angle_beta 90.00
_cell_angle_gamma 120.00
_symmetry_space_group_name_H-M 'P 3 m 1'
_symmetry_Int_Tables_number 156
_symmetry_space_group_name_Hall 'P 3 -2"'
loop_
_atom_site_label
_atom_site_type_symbol
_atom_site_fract_x
_atom_site_fract_y
_atom_site_fract_z
Th1 Th 0.0000 0.0000 0.0000
Sc1 Sc 0.3333 0.6667 0.5009
Cd1 Cd 0.6667 0.3333 0.4982
# V: 27.26 Å³ per atom
# electronic total energy: -4.88 eV/atom
# D(E_F): 3.71 states/eV/f.u.

=====

(11)
# LaPuZn2 PBE optimized geometry
data_LaPuZn2
_chemical_formula_sum 'La1 Pu1 Zn2'
_cell_length_a 5.1668
_cell_length_b 5.1668
_cell_length_c 3.7146
_cell_angle_alpha 90.00
_cell_angle_beta 90.00
_cell_angle_gamma 90.00
_symmetry_space_group_name_H-M 'P 4/m m m'
_symmetry_Int_Tables_number 123
_symmetry_space_group_name_Hall '-P 4 2'
loop_
_atom_site_label
_atom_site_type_symbol
_atom_site_fract_x
_atom_site_fract_y
_atom_site_fract_z
La1 La 0.0000 0.0000 0.0000
Pu1 Pu 0.5000 0.5000 0.0000
Zn1 Zn 0.0000 0.5000 0.5000
# V: 24.79 Å³ per atom
# electronic total energy: -5.61 eV/atom
# D(E_F): 7.72 states/eV/f.u.

=====

(12)
# Y7HoAl4 PBE optimized geometry
data_Y7HoAl4
_chemical_formula_sum 'Y14 Ho2 Al8'
_cell_length_a 13.8887
_cell_length_b 5.4904
_cell_length_c 10.4421
_cell_angle_alpha 90.00
_cell_angle_beta 124.52
_cell_angle_gamma 90.00
_symmetry_space_group_name_H-M 'C 1 2/m 1'
_symmetry_Int_Tables_number 12
_symmetry_space_group_name_Hall '-C 2y'
loop_
_atom_site_label
_atom_site_type_symbol
_atom_site_fract_x
_atom_site_fract_y
_atom_site_fract_z
Y1 Y 0.0000 0.0000 0.0000
Y2 Y 0.0655 0.5000 0.3877
Y3 Y 0.2020 0.0000 0.6460
Y4 Y 0.2122 0.5000 0.8788
Ho1 Ho 0.0000 0.5000 0.0000
Al1 Al 0.0543 0.0000 0.7630
Al2 Al 0.1770 0.0000 0.3319
# V: 27.34 Å³ per atom
# electronic total energy: -5.48 eV/atom
# D(E_F): 13.56 states/eV/f.u.

=====

What is the D(E_F) in the eighth record? 3.51 states/eV/f.u.

=====

Among the records above, which one has the highest D(E_F)? Y7HoAl4

=====

What is the V in the sixth record? 18.00 Å³ per atom